The following is a DFT calculation (PBE) of Cs2Ca2Hg after structural relaxation.

abc: 8.405 8.405 7.603
angles: 90.00 90.00 90.00
Fractional positions:
Hg: 0.500 0.500 0.000
Hg: 0.000 0.000 0.000
Cs: 0.681 0.819 0.500
Cs: 0.819 0.319 0.500
Ca: 0.829 0.671 0.000
Ca: 0.329 0.829 0.000
Cs: 0.319 0.181 0.500
Cs: 0.181 0.681 0.500
Ca: 0.671 0.171 0.000
Ca: 0.171 0.329 0.000

Output
The calculation puts the formation energy at 17 kJ/mol of formula units.


The following is a DFT calculation (PBE) of NdSnTe2 after structural relaxation.

abc: 4.261 4.261 10.008
angles: 77.71 77.71 60.00
Fractional positions:
Te: 0.104 0.104 0.688
Sn: 0.500 0.500 0.500
Nd: 0.000 0.000 0.000
Te: 0.896 0.896 0.312

Output
As for the energy relative to the elements, uncorrected: -0.24 eV per atom.


The following is a DFT calculation (PBE) of Dy7ErIn2 after structural relaxation.

abc: 5.343 8.999 8.999
angles: 119.09 90.00 90.00
Fractional positions:
Dy: 0.500 0.500 0.500
In: 0.500 0.696 0.304
Dy: 0.000 0.775 0.225
Dy: 0.500 0.699 0.939
Dy: 0.500 0.301 0.061
Dy: 0.000 0.225 0.775
Dy: 0.500 0.939 0.699
In: 0.500 0.304 0.696
Er: 0.000 0.000 0.000
Dy: 0.500 0.061 0.301

Output
The calculation puts the formation energy at 340 kJ/mol of formula units.


The following is a DFT calculation (PBE) of AgSbTe3 after structural relaxation.

abc: 4.213 7.768 9.700
angles: 88.93 90.00 90.00
Fractional positions:
Te: 0.250 0.383 0.616
Te: 0.250 0.731 0.994
Te: 0.750 0.617 0.384
Te: 0.750 0.269 0.006
Te: 0.250 0.925 0.681
Te: 0.750 0.075 0.319
Sb: 0.750 0.571 0.817
Ag: 0.250 0.853 0.365
Ag: 0.750 0.147 0.635
Sb: 0.250 0.429 0.183

Output
As for the energy relative to the elements, uncorrected: 0.03 eV per atom. The calculation puts the excess energy over the best structure of this formula in the dataset at 0 meV/atom.


The following is a DFT calculation (PBE) of KSiI2N after structural relaxation.

abc: 6.424 6.424 4.972
angles: 90.00 90.00 90.00
Each line ends with the local moment (μB).
Fractional positions:
K: 0.000 0.000 0.000  0.03
N: 0.000 0.000 0.500  1.72
Si: 0.500 0.500 0.500  0.28
I: 0.500 0.000 0.000  -0.02
I: 0.000 0.500 0.000  -0.02

Output
As for the energy relative to the elements, uncorrected: 1.24 eV per atom. The calculation puts the excess energy over the best structure of this formula in the dataset at 1498 meV/atom.


The following is a DFT calculation (PBE) of Ti8Zn3In2 after structural relaxation.

abc: 3.625 10.319 9.549
angles: 138.65 90.00 90.00
Fractional positions:
Ti: 0.000 0.721 0.656
Ti: 0.000 0.279 0.344
Ti: 0.000 0.466 0.820
Ti: 0.500 0.701 0.135
Ti: 0.500 0.460 0.324
Zn: 0.000 0.842 0.041
Ti: 0.500 0.299 0.865
Ti: 0.500 0.540 0.676
In: 0.500 0.125 0.446
Ti: 0.000 0.534 0.180
In: 0.500 0.875 0.554
Zn: 0.000 0.158 0.959
Zn: 0.500 0.000 0.000

Output
The calculation puts the formation energy at 12 kJ/mol of formula units.


The following is a DFT calculation (PBE) of ZnInAg5 after structural relaxation.

abc: 4.327 4.327 7.136
angles: 90.00 90.00 90.00
Fractional positions:
In: 0.000 0.000 0.500
Zn: 0.500 0.500 0.000
Ag: 0.500 0.000 0.215
Ag: 0.500 0.500 0.500
Ag: 0.500 0.000 0.785
Ag: 0.000 0.500 0.785
Ag: 0.000 0.500 0.215

Output
The calculation puts the excess energy over the best structure of this formula in the dataset at 0 meV/atom. The calculation puts the formation energy at 28 kJ/mol of formula units.


The following is a DFT calculation (PBE) of BeAl2SnAu after structural relaxation.

abc: 5.389 5.188 5.389
angles: 90.00 90.00 90.00
Fractional positions:
Sn: 0.000 0.000 0.000
Au: 0.000 0.500 0.000
Al: 0.500 0.000 0.000
Al: 0.000 0.000 0.500
Be: 0.500 0.500 0.500

Output
The calculation puts the formation energy at 560 kJ/mol of formula units.


The following is a DFT calculation (PBE) of HfWC2 after structural relaxation.

abc: 3.124 3.124 5.780
angles: 74.32 74.32 60.00
Fractional positions:
Hf: 0.493 0.493 0.521
C: 0.077 0.077 0.769
C: 0.258 0.258 0.227
W: 0.672 0.672 0.984

Output
The calculation puts the excess energy over the best structure of this formula in the dataset at 169 meV/atom. The calculation puts the formation energy at -103 kJ/mol of formula units.


The following is a DFT calculation (PBE) of CdOsCO2 after structural relaxation.

abc: 3.861 4.243 3.861
angles: 90.00 90.00 90.00
Each line ends with the local moment (μB).
Fractional positions:
C: 0.000 0.000 0.000  0.05
Os: 0.500 0.500 0.500  2.44
Cd: 0.000 0.500 0.000  0.00
O: 0.000 0.000 0.500  0.20
O: 0.500 0.000 0.000  0.24

Output
As for the energy relative to the elements, uncorrected: 1.98 eV per atom.


The following is a DFT calculation (PBE) of Pa2MnZnN5 after structural relaxation.

abc: 3.334 7.241 8.918
angles: 90.00 90.00 103.31
Each line ends with the local moment (μB).
Fractional positions:
Pa: 0.133 0.266 0.729  0.03
Zn: 0.517 0.034 0.006  0.03
Mn: 0.226 0.452 0.007  1.75
N: 0.366 0.733 0.026  0.04
Pa: 0.873 0.747 0.780  -0.01
N: 0.910 0.820 0.502  0.07
Pa: 0.867 0.734 0.229  0.03
Zn: 0.483 0.966 0.506  0.03
N: 0.509 0.018 0.260  0.03
N: 0.491 0.982 0.760  0.03
N: 0.283 0.565 0.364  -0.03
N: 0.090 0.180 0.002  0.07
N: 0.713 0.427 0.150  -0.02
N: 0.287 0.573 0.650  -0.02
N: 0.634 0.267 0.526  0.04
Pa: 0.127 0.253 0.280  -0.01
Mn: 0.774 0.548 0.507  1.75
N: 0.717 0.435 0.864  -0.03

Output
As for the energy relative to the elements, uncorrected: -0.88 eV per atom.


The following is a DFT calculation (PBE) of CaY2Ni after structural relaxation.

abc: 5.249 5.249 5.249
angles: 60.00 60.00 60.00
Fractional positions:
Y: 0.250 0.250 0.250
Ca: 0.000 0.000 0.000
Y: 0.750 0.750 0.750
Ni: 0.500 0.500 0.500

Output
The calculation puts the excess energy over the best structure of this formula in the dataset at 343 meV/atom. The calculation puts the formation energy at 79 kJ/mol of formula units.


no.,Fermi-level density of states (states/eV/atom),total DFT energy (no corrections) (eV/atom),total magnetic moment (μB per cell)
1,0.7352,-1.167,0.00
2,0.4752,-4.001,0.00
3,1.9915,-3.873,0.00
4,0.4039,-3.252,0.00
5,0.6805,-2.353,3.50
6,1.1002,-5.564,0.00
7,0.2373,-2.569,0.00
8,0.5640,-2.536,0.00
9,0.3925,-10.606,0.00
10,0.6821,-4.275,3.19
11,0.2170,-8.780,4.00
12,0.6893,-4.972,0.00